[1]
First-principles (PBE) data for a relaxed SmDy4Hg3 crystal, as listed in Alexandria via LeMat-Bulk.

Unit cell a=5.2494 b=5.2494 c=27.8472 alpha=90.00 beta=90.00 gamma=120.00
Closest atoms and distances in Å follow each position.
Space group R-3m (No. 166, hexagonal axes)
Inequivalent atoms, fractional coordinates:
Sm 0.0000 0.0000 0.0000 (multiplicity 3)  8 Dy 3.44-3.63, 6 Hg 3.55
Dy 0.0000 0.0000 0.1303 (multiplicity 6)  6 Hg 3.20-3.51
Dy 0.0000 0.0000 0.3917 (multiplicity 6)  4 Hg 3.02-3.04
Hg 0.0000 0.0000 0.2668 (multiplicity 6)  3 Dy 3.04
Hg 0.0000 0.0000 0.5000 (multiplicity 3)  8 Dy 3.02-3.20

Summary:
ΔH_f (0 K) in kJ/mol of formula units: -226
Total moment in μB per cell: 1.62

***

[2]
First-principles (PBE) data for a relaxed La3Ag2Pd4 crystal, as listed in Alexandria via LeMat-Bulk.

Unit cell a=11.8383 b=4.3958 c=8.9904 alpha=90.00 beta=116.32 gamma=90.00
Closest atoms and distances in Å follow each position.
Space group C2/m (No. 12)
Inequivalent atoms, fractional coordinates:
La 0.0000 0.0000 0.0000 (multiplicity 2)  6 Pd 3.17-3.35
La 0.1381 0.5000 0.6958 (multiplicity 4)  7 Pd 2.99-3.25, 2 Ag 3.26
Ag 0.1731 0.5000 0.3430 (multiplicity 4)  4 Pd 2.73-2.96
Pd 0.0614 0.0000 0.4013 (multiplicity 4)  3 Ag 2.73-2.96, 1 Pd 2.75, 2 La 3.06
Pd 0.2081 0.5000 0.0585 (multiplicity 4)  1 Ag 2.77, 2 Pd 2.80, 3 La 2.99-3.07

Summary:
ΔH_f (0 K) in kJ/mol of formula units: -551
Total moment in μB per cell: 0.00
Distance to the lowest polymorph of the same formula in eV per atom: 0.0000

***

[3]
First-principles (PBE) data for a relaxed TaCo2Hg crystal, as listed in Alexandria via LeMat-Bulk.

Unit cell a=3.5839 b=3.8227 c=8.5091 alpha=90.00 beta=90.00 gamma=90.00
Closest atoms and distances in Å follow each position.
Space group Imm2 (No. 44)
Inequivalent atoms, fractional coordinates:
Ta 0.0000 0.0000 0.0000 (multiplicity 2)  6 Co 2.62-2.64, 4 Hg 2.82-2.83
Co 0.0000 0.0000 0.5088 (multiplicity 2)  4 Ta 2.62, 4 Co 2.77-2.87, 4 Hg 2.81-2.84
Co 0.0000 0.5000 0.2727 (multiplicity 2)  4 Hg 2.62, 2 Ta 2.64, 4 Co 2.77-2.87
Hg 0.0000 0.5000 0.7551 (multiplicity 2)  8 Co 2.62-2.84, 4 Ta 2.82-2.83

Summary:
ΔH_f (0 K) in kJ/mol of formula units: 84
Total moment in μB per cell: 0.00

***

[4]
First-principles (PBE) data for a relaxed YMgTlIn crystal, as listed in Alexandria via LeMat-Bulk.

Unit cell a=4.5137 b=4.6719 c=4.7019 alpha=90.00 beta=90.00 gamma=90.00
Closest atoms and distances in Å follow each position.
Space group Pmmm (No. 47)
Inequivalent atoms, fractional coordinates:
Y 0.0000 0.0000 0.0000 (multiplicity 1)  4 In 3.25, 4 Tl 3.26, 4 Mg 3.31
Mg 0.0000 0.5000 0.5000 (multiplicity 1)  4 Tl 3.25, 4 In 3.26, 4 Y 3.31
Tl 0.5000 0.0000 0.5000 (multiplicity 1)  4 Mg 3.25, 4 Y 3.26, 4 In 3.31
In 0.5000 0.5000 0.0000 (multiplicity 1)  4 Y 3.25, 4 Mg 3.26, 4 Tl 3.31

Summary:
ΔH_f (0 K) in kJ/mol of formula units: -130
Total moment in μB per cell: 0.00
Distance to the lowest polymorph of the same formula in eV per atom: 0.0000

***

[5]
First-principles (PBE) data for a relaxed BaEu crystal, as listed in Alexandria via LeMat-Bulk.

Unit cell a=4.5569 b=4.5532 c=10.2591 alpha=90.00 beta=90.05 gamma=90.00
Closest atoms and distances in Å follow each position.
Space group P2_1/m (No. 11)
Inequivalent atoms, fractional coordinates:
Ba 0.2499 0.2500 0.1494 (multiplicity 2)  5 Eu 4.13-4.61, 8 Ba 4.44-4.56
Eu 0.2500 0.2500 0.5990 (multiplicity 2)  4 Eu 3.81, 4 Ba 4.13

Summary:
ΔH_f (0 K) in kJ/mol of formula units: 1
Total moment in μB per cell: 15.28
Distance to the lowest polymorph of the same formula in eV per atom: 0.0000

***

[6]
First-principles (PBE) data for a relaxed Ti4VMo2 crystal, as listed in Alexandria via LeMat-Bulk.

Unit cell a=6.5560 b=6.5560 c=5.5941 alpha=90.00 beta=90.00 gamma=90.00
Closest atoms and distances in Å follow each position.
Space group I4/mmm (No. 139)
Inequivalent atoms, fractional coordinates:
Ti 0.2098 0.2098 0.0000 (multiplicity 8)  1 V 2.69, 4 Mo 2.73, 4 Ti 2.75-2.89
V 0.0000 0.0000 0.5000 (multiplicity 2)  4 Ti 2.69
Mo 0.0000 0.5000 0.2500 (multiplicity 4)  8 Ti 2.73, 2 Mo 2.80

Summary:
ΔH_f (0 K) in kJ/mol of formula units: 218
Total moment in μB per cell: 3.27

***

[7]
First-principles (PBE) data for a relaxed La3Dy2Zn2 crystal, as listed in Alexandria via LeMat-Bulk.

Unit cell a=3.6908 b=30.9861 c=3.6435 alpha=90.00 beta=90.00 gamma=90.00
Closest atoms and distances in Å follow each position.
Space group Cmmm (No. 65)
Inequivalent atoms, fractional coordinates:
La 0.0000 0.0000 0.0000 (multiplicity 2)  12 La 3.64-3.76
La 0.0000 0.4120 0.5000 (multiplicity 4)  4 Zn 3.26, 1 Dy 3.55, 2 La 3.64
Dy 0.0000 0.2976 0.5000 (multiplicity 4)  4 Zn 3.04
Zn 0.0000 0.1515 0.0000 (multiplicity 4)  4 Dy 3.04, 4 La 3.26

Summary:
ΔH_f (0 K) in kJ/mol of formula units: -73
Total moment in μB per cell: 0.00

***

[8]
First-principles (PBE) data for a relaxed PmCd4Cu2 crystal, as listed in Alexandria via LeMat-Bulk.

Unit cell a=4.3038 b=16.1696 c=4.2444 alpha=90.00 beta=90.00 gamma=90.00
Closest atoms and distances in Å follow each position.
Space group Cmmm (No. 65)
Inequivalent atoms, fractional coordinates:
Pm 0.0000 0.0000 0.0000 (multiplicity 2)  8 Cu 3.24, 8 Cd 3.54-3.59
Cd 0.0000 0.1754 0.5000 (multiplicity 4)  2 Cu 2.72, 4 Cd 3.02
Cd 0.0000 0.3224 0.0000 (multiplicity 4)  2 Cu 2.71, 4 Cd 3.02
Cu 0.0000 0.4272 0.5000 (multiplicity 4)  1 Cu 2.36

Summary:
ΔH_f (0 K) in kJ/mol of formula units: -99
Total moment in μB per cell: 0.00

***

[9]
First-principles (PBE) data for a relaxed CeEuGdTl crystal, as listed in Alexandria via LeMat-Bulk.

Unit cell a=7.8571 b=7.8571 c=7.8571 alpha=90.00 beta=90.00 gamma=90.00
Closest atoms and distances in Å follow each position.
Space group F-43m (No. 216)
Inequivalent atoms, fractional coordinates:
Ce 0.0000 0.0000 0.0000 (multiplicity 4)  4 Eu 3.40, 4 Gd 3.40
Eu 0.2500 0.2500 0.2500 (multiplicity 4)  4 Tl 3.40, 4 Ce 3.40
Gd 0.2500 0.2500 0.7500 (multiplicity 4)  4 Tl 3.40, 4 Ce 3.40
Tl 0.0000 0.0000 0.5000 (multiplicity 4)  4 Gd 3.40, 4 Eu 3.40

Summary:
ΔH_f (0 K) in kJ/mol of formula units: 22
Total moment in μB per cell: 13.49

***

[10]
First-principles (PBE) data for a relaxed MnTcPPdCl crystal, as listed in Alexandria via LeMat-Bulk.

Unit cell a=3.1340 b=3.6053 c=15.1668 alpha=90.00 beta=90.00 gamma=90.00
Closest atoms and distances in Å follow each position.
Space group Imm2 (No. 44)
Inequivalent atoms, fractional coordinates:
Mn 0.0000 0.0000 0.0000 (multiplicity 2)  4 P 2.40, 2 Tc 2.42
Tc 0.0000 0.5000 0.8940 (multiplicity 2)  2 Mn 2.42, 2 P 2.44, 2 Cl 2.49
P 0.0000 0.0000 0.5172 (multiplicity 2)  2 Pd 2.40, 4 Mn 2.40, 2 Tc 2.44
Pd 0.0000 0.5000 0.1369 (multiplicity 2)  2 P 2.40, 2 Cl 2.66
Cl 0.0000 0.0000 0.2663 (multiplicity 2)  2 Tc 2.49, 2 Pd 2.66

Summary:
Formation energy from raw total energies in eV/atom: -0.06
Total moment in μB per cell: 3.70
Distance to the lowest polymorph of the same formula in eV per atom: 0.1597